Model a:
Density functional theory data (PBE-GGA) for a relaxed structure of Sb3CBr.

* crystal system: cubic
* symmetry: Pm-3m (221)

a b c (Å): 5.515 5.515 5.515
angles (deg): 90.00 90.00 90.00
Each line ends with the local moment (μB).
Fractional positions:
Sb1 0.000 0.000 0.500  -0.18
Sb2 0.500 0.000 0.000  -0.09
Sb3 0.000 0.500 0.000  -0.05
C1 0.500 0.500 0.500  0.77
Br1 0.000 0.000 0.000  -0.04

---

Model b:
Density functional theory data (PBE-GGA) for a relaxed structure of Sb3CBr.

* crystal system: cubic
* symmetry: Pm-3m (221)

a b c (Å): 4.920 4.920 4.920
angles (deg): 90.00 90.00 90.00
Fractional positions:
Sb1 0.000 0.000 0.500
Sb2 0.500 0.000 0.000
Sb3 0.000 0.500 0.000
Br1 0.500 0.500 0.500
C1 0.000 0.000 0.000

---

Computed relative energies in units of meV/atom: model a 1321; model b 0

---

Model a:
Density functional theory data (PBE-GGA) for a relaxed structure of Sb2CBr.

* crystal system: tetragonal
* symmetry: I-42d (122)

a b c (Å): 7.246 7.246 6.246
angles (deg): 54.54 54.54 90.00
Fractional positions:
Sb1 0.224 0.625 0.250
Sb2 0.875 0.776 0.750
Sb3 0.375 0.474 0.750
Sb4 0.526 0.125 0.250
Br1 0.750 0.250 0.500
Br2 0.000 0.000 0.000
C1 0.250 0.750 0.500
C2 0.500 0.500 0.000

---

Model b:
Density functional theory data (PBE-GGA) for a relaxed structure of Sb2CBr.

* crystal system: cubic
* symmetry: Fm-3m (225)

a b c (Å): 4.915 4.915 4.915
angles (deg): 60.00 60.00 60.00
Fractional positions:
Br1 0.500 0.500 0.500
Sb1 0.250 0.250 0.250
Sb2 0.750 0.750 0.750
C1 0.000 0.000 0.000

---

Computed relative energies in units of meV/atom: model a 0; model b 698

---

Model a:
Density functional theory data (PBE-GGA) for a relaxed structure of SbCBr3.

* crystal system: cubic
* symmetry: Pm-3m (221)

a b c (Å): 4.790 4.790 4.790
angles (deg): 90.00 90.00 90.00
Fractional positions:
Sb1 0.500 0.500 0.500
Br1 0.500 0.000 0.000
Br2 0.000 0.000 0.500
Br3 0.000 0.500 0.000
C1 0.000 0.000 0.000

---

Model b:
Density functional theory data (PBE-GGA) for a relaxed structure of SbCBr3.

* crystal system: cubic
* symmetry: Pm-3m (221)

a b c (Å): 5.589 5.589 5.589
angles (deg): 90.00 90.00 90.00
Each line ends with the local moment (μB).
Fractional positions:
Sb1 0.000 0.000 0.000  0.01
C1 0.500 0.500 0.500  0.96
Br1 0.500 0.000 0.000  0.00
Br2 0.000 0.000 0.500  0.00
Br3 0.000 0.500 0.000  0.00

---

Computed relative energies in units of meV/atom: model a 0; model b 129

---

Model a:
Density functional theory data (PBE-GGA) for a relaxed structure of SbCSe2Br.

* crystal system: tetragonal
* symmetry: P4/mmm (123)

a b c (Å): 5.382 5.382 5.476
angles (deg): 90.00 90.00 90.00
Each line ends with the local moment (μB).
Fractional positions:
Br1 0.000 0.000 0.500  -0.02
Se1 0.500 0.000 0.000  -0.32
Se2 0.000 0.500 0.000  -0.32
C1 0.500 0.500 0.500  0.87
Sb1 0.000 0.000 0.000  0.02

---

Model b:
Density functional theory data (PBE-GGA) for a relaxed structure of SbCSe2Br.

* crystal system: tetragonal
* symmetry: P4/mmm (123)

a b c (Å): 4.550 4.550 4.695
angles (deg): 90.00 90.00 90.00
Fractional positions:
Se1 0.500 0.000 0.000
Se2 0.000 0.500 0.000
Sb1 0.500 0.500 0.500
C1 0.000 0.000 0.000
Br1 0.000 0.000 0.500

---

Computed relative energies in units of meV/atom: model a 669; model b 0

---

Model a:
Density functional theory data (PBE-GGA) for a relaxed structure of SbTe2CBr.

* crystal system: tetragonal
* symmetry: P4/mmm (123)

a b c (Å): 5.657 5.657 5.613
angles (deg): 90.00 90.00 90.00
Each line ends with the local moment (μB).
Fractional positions:
Te1 0.000 0.500 0.000  -0.27
Te2 0.500 0.000 0.000  -0.27
Br1 0.000 0.000 0.000  -0.13
Sb1 0.000 0.000 0.500  -0.42
C1 0.500 0.500 0.500  0.87

---

Model b:
Density functional theory data (PBE-GGA) for a relaxed structure of SbTe2CBr.

* crystal system: tetragonal
* symmetry: P4/mmm (123)

a b c (Å): 4.784 4.784 5.216
angles (deg): 90.00 90.00 90.00
Fractional positions:
Br1 0.500 0.500 0.500
Te1 0.000 0.500 0.000
Te2 0.500 0.000 0.000
Sb1 0.000 0.000 0.500
C1 0.000 0.000 0.000

---

Computed relative energies in units of meV/atom: model a 1256; model b 0

---

Model a:
Density functional theory data (PBE-GGA) for a relaxed structure of ScC3Br.

* crystal system: cubic
* symmetry: Pm-3m (221)

a b c (Å): 3.977 3.977 3.977
angles (deg): 90.00 90.00 90.00
Fractional positions:
C1 0.000 0.500 0.000
C2 0.000 0.000 0.500
C3 0.500 0.000 0.000
Sc1 0.500 0.500 0.500
Br1 0.000 0.000 0.000

---

Model b:
Density functional theory data (PBE-GGA) for a relaxed structure of ScC3Br.

* crystal system: cubic
* symmetry: Pm-3m (221)

a b c (Å): 4.435 4.435 4.435
angles (deg): 90.00 90.00 90.00
Fractional positions:
Sc1 0.000 0.000 0.000
Br1 0.500 0.500 0.500
C1 0.000 0.500 0.000
C2 0.500 0.000 0.000
C3 0.000 0.000 0.500

---

Computed relative energies in units of meV/atom: model a 6; model b 0

---

Model a:
Density functional theory data (PBE-GGA) for a relaxed structure of ScCSe2Br.

* crystal system: tetragonal
* symmetry: P4/mmm (123)

a b c (Å): 5.240 5.240 5.149
angles (deg): 90.00 90.00 90.00
Each line ends with the local moment (μB).
Fractional positions:
Sc1 0.000 0.000 0.000  0.03
Se1 0.000 0.500 0.000  -0.38
Se2 0.500 0.000 0.000  -0.38
C1 0.500 0.500 0.500  0.85
Br1 0.000 0.000 0.500  -0.07

---

Model b:
Density functional theory data (PBE-GGA) for a relaxed structure of ScCSe2Br.

* crystal system: tetragonal
* symmetry: P4/mmm (123)

a b c (Å): 4.471 4.471 4.613
angles (deg): 90.00 90.00 90.00
Fractional positions:
C1 0.000 0.000 0.000
Br1 0.000 0.000 0.500
Se1 0.500 0.000 0.000
Se2 0.000 0.500 0.000
Sc1 0.500 0.500 0.500

---

Computed relative energies in units of meV/atom: model a 398; model b 0

---

Model a:
Density functional theory data (PBE-GGA) for a relaxed structure of C2SeBr.

* crystal system: cubic
* symmetry: Fm-3m (225)

a b c (Å): 4.301 4.301 4.301
angles (deg): 60.00 60.00 60.00
Fractional positions:
C1 0.750 0.750 0.750
C2 0.250 0.250 0.250
Br1 0.500 0.500 0.500
Se1 0.000 0.000 0.000

---

Model b:
Density functional theory data (PBE-GGA) for a relaxed structure of C2SeBr.

* crystal system: tetragonal
* symmetry: I-42d (122)

a b c (Å): 5.810 5.810 5.665
angles (deg): 59.15 59.15 90.00
Fractional positions:
C1 0.571 0.125 0.250
C2 0.875 0.821 0.750
C3 0.179 0.625 0.250
C4 0.375 0.429 0.750
Br1 0.750 0.250 0.500
Br2 0.000 0.000 0.000
Se1 0.500 0.500 0.000
Se2 0.250 0.750 0.500

---

Computed relative energies in units of meV/atom: model a 694; model b 0

---

Model a:
Density functional theory data (PBE-GGA) for a relaxed structure of CSe3Br.

* crystal system: cubic
* symmetry: Pm-3m (221)

a b c (Å): 4.540 4.540 4.540
angles (deg): 90.00 90.00 90.00
Fractional positions:
Se1 0.000 0.500 0.000
Se2 0.000 0.000 0.500
Se3 0.500 0.000 0.000
C1 0.000 0.000 0.000
Br1 0.500 0.500 0.500

---

Model b:
Density functional theory data (PBE-GGA) for a relaxed structure of CSe3Br.

* crystal system: cubic
* symmetry: Pm-3m (221)

a b c (Å): 5.202 5.202 5.202
angles (deg): 90.00 90.00 90.00
Each line ends with the local moment (μB).
Fractional positions:
Se1 0.000 0.000 0.500  -0.32
Se2 0.000 0.500 0.000  -0.20
Se3 0.500 0.000 0.000  -0.22
C1 0.500 0.500 0.500  0.78
Br1 0.000 0.000 0.000  -0.01

---

Computed relative energies in units of meV/atom: model a 0; model b 1066

---

Model a:
Density functional theory data (PBE-GGA) for a relaxed structure of CSeBr.

* crystal system: monoclinic
* symmetry: Pm (6)

a b c (Å): 4.370 3.290 6.204
angles (deg): 90.00 85.48 90.00
Fractional positions:
Br1 0.124 0.000 0.260
C1 0.274 0.000 0.969
Se1 0.382 0.500 0.820

---

Model b:
Density functional theory data (PBE-GGA) for a relaxed structure of CSeBr.

* crystal system: orthorhombic
* symmetry: Cmce (64)

a b c (Å): 6.074 9.927 5.362
angles (deg): 90.00 90.00 107.82
Fractional positions:
Se1 0.324 0.148 0.250
Se2 0.676 0.852 0.750
Se3 0.824 0.148 0.250
Se4 0.176 0.852 0.750
C1 0.520 0.040 0.396
C2 0.480 0.960 0.604
C3 0.020 0.040 0.104
C4 0.980 0.960 0.896
Br1 0.252 0.504 0.623
Br2 0.748 0.496 0.377
Br3 0.248 0.496 0.123
Br4 0.752 0.504 0.877

---

Computed relative energies in units of meV/atom: model a 219; model b 0

---

Model a:
Density functional theory data (PBE-GGA) for a relaxed structure of CSeBr2.

* crystal system: trigonal
* symmetry: R-3m (166)

a b c (Å): 11.509 11.509 11.509
angles (deg): 16.48 16.48 16.48
Each line ends with the local moment (μB).
Fractional positions:
Se1 0.000 0.000 0.000  0.26
Br1 0.124 0.124 0.124  0.00
Br2 0.876 0.876 0.876  0.00
C1 0.500 0.500 0.500  0.00

---

Model b:
Density functional theory data (PBE-GGA) for a relaxed structure of CSeBr2.

* crystal system: cubic
* symmetry: Fm-3m (225)

a b c (Å): 4.822 4.822 4.822
angles (deg): 60.00 60.00 60.00
Fractional positions:
C1 0.000 0.000 0.000
Br1 0.750 0.750 0.750
Br2 0.250 0.250 0.250
Se1 0.500 0.500 0.500

---

Computed relative energies in units of meV/atom: model a 0; model b 610

---

Model a:
Density functional theory data (PBE-GGA) for a relaxed structure of CSeBr2.

* crystal system: tetragonal
* symmetry: I-42d (122)

a b c (Å): 6.944 6.944 6.940
angles (deg): 59.98 59.98 90.00
Each line ends with the local moment (μB).
Fractional positions:
Br1 0.375 0.624 0.750  0.05
Br2 0.875 0.626 0.750  0.05
Br3 0.374 0.625 0.250  0.04
Br4 0.376 0.125 0.250  0.04
Se1 0.000 0.000 0.000  1.13
Se2 0.750 0.250 0.500  1.13
C1 0.500 0.500 0.000  0.00
C2 0.250 0.750 0.500  0.00

---

Model b:
Density functional theory data (PBE-GGA) for a relaxed structure of CSeBr2.

* crystal system: trigonal
* symmetry: R-3m (166)

a b c (Å): 9.623 9.623 9.623
angles (deg): 19.71 19.71 19.71
Fractional positions:
Se1 0.500 0.500 0.500
C1 0.000 0.000 0.000
Br1 0.938 0.938 0.938
Br2 0.062 0.062 0.062

---

Computed relative energies in units of meV/atom: model a 15; model b 0

---

Model a:
Density functional theory data (PBE-GGA) for a relaxed structure of SnCSeBr2.

* crystal system: tetragonal
* symmetry: P4/mmm (123)

a b c (Å): 5.476 5.476 5.491
angles (deg): 90.00 90.00 90.00
Each line ends with the local moment (μB).
Fractional positions:
Br1 0.000 0.500 0.000  -0.02
Br2 0.500 0.000 0.000  -0.02
Se1 0.000 0.000 0.500  -0.44
Sn1 0.000 0.000 0.000  -0.01
C1 0.500 0.500 0.500  0.90

---

Model b:
Density functional theory data (PBE-GGA) for a relaxed structure of SnCSeBr2.

* crystal system: tetragonal
* symmetry: P4/mmm (123)

a b c (Å): 4.858 4.858 4.572
angles (deg): 90.00 90.00 90.00
Fractional positions:
Se1 0.000 0.000 0.500
C1 0.000 0.000 0.000
Sn1 0.500 0.500 0.500
Br1 0.000 0.500 0.000
Br2 0.500 0.000 0.000

---

Computed relative energies in units of meV/atom: model a 579; model b 0

---

Model a:
Density functional theory data (PBE-GGA) for a relaxed structure of SrCSeBr2.

* crystal system: tetragonal
* symmetry: P4/mmm (123)

a b c (Å): 4.996 4.996 4.574
angles (deg): 90.00 90.00 90.00
Fractional positions:
Sr1 0.500 0.500 0.500
C1 0.000 0.000 0.000
Br1 0.500 0.000 0.000
Br2 0.000 0.500 0.000
Se1 0.000 0.000 0.500

---

Model b:
Density functional theory data (PBE-GGA) for a relaxed structure of SrCSeBr2.

* crystal system: tetragonal
* symmetry: P4/mmm (123)

a b c (Å): 5.900 5.900 6.170
angles (deg): 90.00 90.00 90.00
Each line ends with the local moment (μB).
Fractional positions:
Br1 0.000 0.500 0.000  0.05
Br2 0.500 0.000 0.000  0.05
Se1 0.000 0.000 0.500  0.13
C1 0.500 0.500 0.500  0.89
Sr1 0.000 0.000 0.000  0.00

---

Computed relative energies in units of meV/atom: model a 0; model b 915